(1)
A plane-wave DFT calculation with PBE-GGA was carried out for an optimized crystal structure of RbInFeTe3. Values from VASP.

The structure in Quantum ESPRESSO input format:
```
&SYSTEM
  ibrav = 0, nat = 12, ntyp = 4
/
ATOMIC_SPECIES
Fe 55.84 Fe.upf
Te 127.60 Te.upf
Rb 85.47 Rb.upf
In 114.82 In.upf
CELL_PARAMETERS angstrom
10.160 0.000 0.000
0.000 4.219 0.000
-3.260 0.000 9.775
ATOMIC_POSITIONS crystal
Fe 0.063 0.250 0.073
Te 0.124 0.250 0.344
Rb 0.802 0.750 0.269
Te 0.793 0.250 0.966
Te 0.876 0.750 0.656
Te 0.530 0.250 0.330
Te 0.207 0.750 0.034
In 0.659 0.250 0.627
Fe 0.937 0.750 0.927
In 0.341 0.750 0.373
Rb 0.198 0.250 0.731
Te 0.470 0.750 0.670
```

Raw total energy, eV/atom: -3.958
Spin magnetization, μB per formula unit: 3.7

(2)
A plane-wave DFT calculation with PBE-GGA was carried out for an optimized crystal structure of InFeRe2. Values from VASP.

The structure in Quantum ESPRESSO input format:
```
&SYSTEM
  ibrav = 0, nat = 4, ntyp = 3
/
ATOMIC_SPECIES
Fe 55.84 Fe.upf
In 114.82 In.upf
Re 186.21 Re.upf
CELL_PARAMETERS angstrom
0.000 3.106 3.106
3.106 0.000 3.106
3.106 3.106 0.000
ATOMIC_POSITIONS crystal
Fe 0.250 0.250 0.250
In 0.500 0.500 0.500
Re 0.000 0.000 0.000
Re 0.750 0.750 0.750
```

Raw total energy, eV/atom: -8.501
Spin magnetization, μB per formula unit: 2.6

(3)
A plane-wave DFT calculation with PBE-GGA was carried out for an optimized crystal structure of ZnInFeRe. Values from VASP.

The structure in Quantum ESPRESSO input format:
```
&SYSTEM
  ibrav = 0, nat = 4, ntyp = 4
/
ATOMIC_SPECIES
Re 186.21 Re.upf
Zn 65.41 Zn.upf
Fe 55.84 Fe.upf
In 114.82 In.upf
CELL_PARAMETERS angstrom
-2.097 -3.855 -0.335
-3.762 -0.269 -2.269
-0.099 -2.124 -3.854
ATOMIC_POSITIONS crystal
Re 0.500 0.500 0.500
Zn 0.250 0.250 0.250
Fe 0.750 0.750 0.750
In 0.000 0.000 0.000
```

Raw total energy, eV/atom: -5.727
Spin magnetization, μB per formula unit: 2.7
Energy above the most stable polymorph in this dataset, kJ/mol of formula units: 0

(4)
A plane-wave DFT calculation with PBE-GGA was carried out for an optimized crystal structure of In8Fe2S. Values from VASP.

The structure in Quantum ESPRESSO input format:
```
&SYSTEM
  ibrav = 0, nat = 44, ntyp = 3
/
ATOMIC_SPECIES
In 114.82 In.upf
S 32.06 S.upf
Fe 55.84 Fe.upf
CELL_PARAMETERS angstrom
9.951 0.000 0.000
0.000 7.034 7.034
0.000 -7.034 7.034
ATOMIC_POSITIONS crystal
In 0.202 0.799 0.446
S 0.500 0.500 0.000
In 0.500 0.313 0.313
In 0.000 0.802 0.802
S 0.000 0.000 0.500
In 0.298 0.299 0.054
In 0.798 0.446 0.799
Fe 0.260 0.815 0.185
In 0.702 0.946 0.701
In 0.000 0.187 0.813
In 0.820 0.000 0.000
In 0.500 0.100 0.900
In 0.000 0.198 0.198
S 0.000 0.500 0.000
In 0.798 0.554 0.201
Fe 0.740 0.185 0.815
In 0.298 0.701 0.946
Fe 0.240 0.685 0.685
In 0.500 0.687 0.687
In 0.298 0.054 0.299
In 0.798 0.201 0.554
In 0.702 0.299 0.054
Fe 0.760 0.685 0.685
In 0.202 0.201 0.554
In 0.798 0.799 0.446
In 0.320 0.500 0.500
Fe 0.260 0.185 0.815
In 0.000 0.813 0.187
In 0.702 0.701 0.946
In 0.702 0.054 0.299
In 0.202 0.554 0.201
Fe 0.760 0.315 0.315
In 0.000 0.400 0.400
In 0.298 0.946 0.701
In 0.500 0.698 0.302
In 0.500 0.302 0.698
In 0.500 0.900 0.100
In 0.680 0.500 0.500
In 0.000 0.600 0.600
In 0.180 0.000 0.000
Fe 0.240 0.315 0.315
Fe 0.740 0.815 0.185
S 0.500 0.000 0.500
In 0.202 0.446 0.799
```

Raw total energy, eV/atom: -3.839
Spin magnetization, μB per formula unit: 1.7

(5)
A plane-wave DFT calculation with PBE-GGA was carried out for an optimized crystal structure of ZrInFeS3. Values from VASP.

The structure in Quantum ESPRESSO input format:
```
&SYSTEM
  ibrav = 0, nat = 12, ntyp = 4
/
ATOMIC_SPECIES
Fe 55.84 Fe.upf
S 32.06 S.upf
In 114.82 In.upf
Zr 91.22 Zr.upf
CELL_PARAMETERS angstrom
1.824 -7.108 0.000
1.824 7.108 0.000
0.000 0.000 9.752
ATOMIC_POSITIONS crystal
Fe 0.965 0.035 0.250
S 0.125 0.875 0.556
In 0.246 0.754 0.250
Zr 0.500 0.500 0.000
S 0.434 0.566 0.750
S 0.566 0.434 0.250
In 0.754 0.246 0.750
S 0.875 0.125 0.444
S 0.125 0.875 0.944
S 0.875 0.125 0.056
Zr 0.500 0.500 0.500
Fe 0.035 0.965 0.750
```

Raw total energy, eV/atom: -6.224
Spin magnetization, μB per formula unit: 3.0

(6)
A plane-wave DFT calculation with PBE-GGA was carried out for an optimized crystal structure of InFe2Sb. Values from VASP.

The structure in Quantum ESPRESSO input format:
```
&SYSTEM
  ibrav = 0, nat = 16, ntyp = 3
/
ATOMIC_SPECIES
In 114.82 In.upf
Fe 55.84 Fe.upf
Sb 121.76 Sb.upf
CELL_PARAMETERS angstrom
6.254 0.000 0.000
0.000 6.254 0.000
0.000 0.000 6.254
ATOMIC_POSITIONS crystal
In 0.000 0.500 0.000
In 0.500 0.000 0.000
Fe 0.741 0.741 0.741
Fe 0.259 0.741 0.741
In 0.000 0.000 0.500
Sb 0.500 0.500 0.500
Sb 0.500 0.000 0.500
Sb 0.500 0.500 0.000
Fe 0.259 0.259 0.741
Fe 0.259 0.259 0.259
In 0.000 0.000 0.000
Sb 0.000 0.500 0.500
Fe 0.741 0.741 0.259
Fe 0.741 0.259 0.259
Fe 0.741 0.259 0.741
Fe 0.259 0.741 0.259
```

Raw total energy, eV/atom: -5.497
Spin magnetization, μB per formula unit: 2.7

(7)
A plane-wave DFT calculation with PBE-GGA was carried out for an optimized crystal structure of InFe2Sb. Values from VASP.

The structure in Quantum ESPRESSO input format:
```
&SYSTEM
  ibrav = 0, nat = 16, ntyp = 3
/
ATOMIC_SPECIES
Sb 121.76 Sb.upf
Fe 55.84 Fe.upf
In 114.82 In.upf
CELL_PARAMETERS angstrom
6.254 0.000 0.000
0.000 6.254 0.000
0.000 0.000 6.254
ATOMIC_POSITIONS crystal
Sb 0.000 0.500 0.000
Fe 0.241 0.241 0.759
In 0.500 0.500 0.500
Fe 0.759 0.759 0.759
Sb 0.000 0.000 0.000
Fe 0.759 0.241 0.241
Fe 0.241 0.759 0.759
Sb 0.000 0.000 0.500
Fe 0.241 0.759 0.241
Fe 0.241 0.241 0.241
Fe 0.759 0.241 0.759
In 0.500 0.500 0.000
In 0.000 0.500 0.500
Fe 0.759 0.759 0.241
In 0.500 0.000 0.500
Sb 0.500 0.000 0.000
```

Raw total energy, eV/atom: -5.497
Spin magnetization, μB per formula unit: 2.7

(8)
A plane-wave DFT calculation with PBE-GGA was carried out for an optimized crystal structure of Sc2InFe. Values from VASP.

The structure in Quantum ESPRESSO input format:
```
&SYSTEM
  ibrav = 0, nat = 4, ntyp = 3
/
ATOMIC_SPECIES
Sc 44.96 Sc.upf
In 114.82 In.upf
Fe 55.84 Fe.upf
CELL_PARAMETERS angstrom
0.000 3.335 3.335
3.335 0.000 3.335
3.335 3.335 0.000
ATOMIC_POSITIONS crystal
Sc 0.750 0.750 0.750
In 0.500 0.500 0.500
Fe 0.250 0.250 0.250
Sc 0.000 0.000 0.000
```

Raw total energy, eV/atom: -5.989
Spin magnetization, μB per formula unit: 1.0

(9)
A plane-wave DFT calculation with PBE-GGA was carried out for an optimized crystal structure of ScTaInFe. Values from VASP.

The structure in Quantum ESPRESSO input format:
```
&SYSTEM
  ibrav = 0, nat = 4, ntyp = 4
/
ATOMIC_SPECIES
Ta 180.95 Ta.upf
Sc 44.96 Sc.upf
Fe 55.84 Fe.upf
In 114.82 In.upf
CELL_PARAMETERS angstrom
-1.898 -0.788 4.105
-3.573 2.520 1.399
-4.175 -1.890 0.274
ATOMIC_POSITIONS crystal
Ta 0.500 0.500 0.500
Sc 0.250 0.250 0.250
Fe 0.750 0.750 0.750
In 0.000 0.000 0.000
```

Raw total energy, eV/atom: -7.144
Spin magnetization, μB per formula unit: 0.9
Energy above the most stable polymorph in this dataset, kJ/mol of formula units: 0

(10)
A plane-wave DFT calculation with PBE-GGA was carried out for an optimized crystal structure of ScInFeTc. Values from VASP.

The structure in Quantum ESPRESSO input format:
```
&SYSTEM
  ibrav = 0, nat = 4, ntyp = 4
/
ATOMIC_SPECIES
Sc 44.96 Sc.upf
Tc 98.00 Tc.upf
Fe 55.84 Fe.upf
In 114.82 In.upf
CELL_PARAMETERS angstrom
0.000 3.233 3.233
3.233 0.000 3.233
3.233 3.233 0.000
ATOMIC_POSITIONS crystal
Sc 0.250 0.250 0.250
Tc 0.500 0.500 0.500
Fe 0.750 0.750 0.750
In 0.000 0.000 0.000
```

Raw total energy, eV/atom: -6.823
Spin magnetization, μB per formula unit: 3.2
Energy above the most stable polymorph in this dataset, kJ/mol of formula units: 5

(11)
A plane-wave DFT calculation with PBE-GGA was carried out for an optimized crystal structure of ScInFeTc. Values from VASP.

The structure in Quantum ESPRESSO input format:
```
&SYSTEM
  ibrav = 0, nat = 4, ntyp = 4
/
ATOMIC_SPECIES
Sc 44.96 Sc.upf
Fe 55.84 Fe.upf
Tc 98.00 Tc.upf
In 114.82 In.upf
CELL_PARAMETERS angstrom
-1.984 -3.037 2.758
-3.571 -2.419 -1.469
0.452 -4.459 -0.822
ATOMIC_POSITIONS crystal
Sc 0.500 0.500 0.500
Fe 0.750 0.750 0.750
Tc 0.250 0.250 0.250
In 0.000 0.000 0.000
```

Raw total energy, eV/atom: -6.834
Spin magnetization, μB per formula unit: 2.7
Energy above the most stable polymorph in this dataset, kJ/mol of formula units: 0

(12)
A plane-wave DFT calculation with PBE-GGA was carried out for an optimized crystal structure of ScInFeTe3. Values from VASP.

The structure in Quantum ESPRESSO input format:
```
&SYSTEM
  ibrav = 0, nat = 12, ntyp = 4
/
ATOMIC_SPECIES
Te 127.60 Te.upf
In 114.82 In.upf
Fe 55.84 Fe.upf
Sc 44.96 Sc.upf
CELL_PARAMETERS angstrom
-5.226 4.562 3.908
2.080 -4.143 -6.474
-4.558 -8.780 4.155
ATOMIC_POSITIONS crystal
Te 0.079 0.921 0.750
In 0.238 0.762 0.250
Te 0.368 0.632 0.558
Te 0.368 0.632 0.942
Te 0.632 0.368 0.442
Fe 0.529 0.471 0.250
Sc 0.000 0.000 0.000
Te 0.921 0.079 0.250
In 0.762 0.238 0.750
Sc 0.000 0.000 0.500
Te 0.632 0.368 0.058
Fe 0.471 0.529 0.750
```

Raw total energy, eV/atom: -4.974
Spin magnetization, μB per formula unit: 3.5